Entry 1:
Here is crystalline ZrSc2Al2 at its relaxed geometry from the Alexandria database. Energies are from PBE.

a b c (Å): 4.032 4.380 11.621
angles (deg): 90.00 99.96 90.00
Fractional positions:
Al1 0.452 0.750 0.905
Al2 0.351 0.250 0.702
Al3 0.548 0.250 0.095
Al4 0.649 0.750 0.298
Sc1 0.047 0.750 0.096
Sc2 0.755 0.250 0.510
Sc3 0.245 0.750 0.490
Sc4 0.953 0.250 0.904
Zr1 0.857 0.750 0.713
Zr2 0.143 0.250 0.287

## Properties
- excess energy over the best structure of this formula in the dataset (meV per atom) = 0.0
- raw total energy (eV per atom) = -6.108
- energy of formation from the pure elements (eV per atom) = -0.368
- space group = No. 63
- magnetization (μB per cell) = 0.00
- calculated volume (Å³/atom) = 20.2

---

Entry 2:
Here is crystalline Zr5ScAl6 at its relaxed geometry from the Alexandria database. Energies are from PBE.

a b c (Å): 4.313 7.985 7.985
angles (deg): 108.20 105.64 105.64
Fractional positions:
Sc1 0.000 0.000 0.000
Al1 0.751 0.251 0.251
Al2 0.750 0.917 0.582
Al3 0.250 0.418 0.083
Al4 0.750 0.582 0.917
Al5 0.250 0.083 0.418
Al6 0.249 0.749 0.749
Zr1 0.000 0.666 0.334
Zr2 0.500 0.500 0.500
Zr3 0.500 0.834 0.166
Zr4 0.000 0.334 0.666
Zr5 0.500 0.166 0.834

## Properties
- raw total energy (eV per atom) = -6.399
- energy of formation from the pure elements (eV per atom) = -0.438
- space group = No. 71
- magnetization (μB per cell) = 0.00
- calculated volume (Å³/atom) = 19.3